Density functional theory data (PBE with a Hubbard U) for a relaxed Na3FeOs2O9 crystal.

Properties
The space-group type is P-3m1, No. 164. Its total energy is -6.44 eV/atom. Its density of states at the Fermi level is 0.286 states/eV/atom. As for the crystal system: trigonal.

Lattice parameters (Å, degrees): 5.4823 5.4823 6.7413 90.00 90.00 120.00
Site moments in Bohr magnetons follow the coordinates.
Sites, in units of the cell vectors:
Na: 0.3333 0.6667 0.6449  0.00
Na: 0.0000 0.0000 0.0000  0.00
Na: 0.6667 0.3333 0.3551  0.00
Fe: 0.0000 0.0000 0.5000  4.30
Os: 0.3333 0.6667 0.1651  0.06
Os: 0.6667 0.3333 0.8349  0.06
O: 0.8298 0.1702 0.6746  0.08
O: 0.8298 0.6596 0.6746  0.08
O: 0.3404 0.1702 0.6746  0.08
O: 0.6596 0.8298 0.3254  0.08
O: 0.1702 0.3404 0.3254  0.08
O: 0.1702 0.8298 0.3254  0.08
O: 0.5000 0.0000 0.0000  0.01
O: 0.0000 0.5000 0.0000  0.01
O: 0.5000 0.5000 0.0000  0.01